The following is a DFT calculation (GGA-PBE) of an optimized crystal structure of Ac2Nd4Sm5.

Unit cell a=6.986 b=7.395 c=9.454 alpha=80.33 beta=68.32 gamma=61.81
Positions (direct):
Nd1 0.732 0.007 0.530
Nd2 0.268 0.993 0.470
Nd3 0.738 0.650 0.874
Nd4 0.262 0.350 0.126
Sm1 0.247 0.145 0.833
Sm2 0.000 0.500 0.500
Sm3 0.775 0.145 0.833
Sm4 0.753 0.855 0.167
Sm5 0.225 0.855 0.167
Ac1 0.325 0.608 0.742
Ac2 0.675 0.392 0.258

Computed properties:
Energy above the most stable polymorph in this dataset in eV/f.u.: 0.14
Total magnetic moment in μB per formula unit: 0.0
Space-group type: C2/m
Energy of formation in eV/atom: 0.140
E in eV per cell: -49.34

***

The following is a DFT calculation (GGA-PBE) of an optimized crystal structure of Ac2Nd5Sm.

Unit cell a=5.307 b=7.489 c=14.977 alpha=90.00 beta=90.00 gamma=90.00
Positions (direct):
Nd1 0.500 0.249 0.875
Nd2 0.000 0.000 0.000
Nd3 0.500 0.251 0.375
Nd4 0.000 0.999 0.749
Nd5 0.000 0.499 0.751
Nd6 0.500 0.749 0.625
Nd7 0.000 0.500 0.500
Nd8 0.000 0.501 0.249
Nd9 0.000 0.001 0.251
Nd10 0.500 0.751 0.125
Sm1 0.000 0.500 0.000
Sm2 0.000 0.000 0.500
Ac1 0.500 0.749 0.875
Ac2 0.500 0.751 0.375
Ac3 0.500 0.251 0.125
Ac4 0.500 0.249 0.625

Computed properties:
Total magnetic moment in μB per formula unit: 0.0
Space-group type: Pbam
Energy of formation in eV/atom: 0.026
E in eV per cell: -73.14

***

The following is a DFT calculation (GGA-PBE) of an optimized crystal structure of Ac2Nd5Sm2.

Unit cell a=9.901 b=8.853 c=10.159 alpha=115.83 beta=119.16 gamma=90.00
Positions (direct):
Nd1 0.298 0.685 0.937
Nd2 0.559 0.257 0.702
Nd3 0.140 0.185 0.937
Nd4 0.358 0.056 0.298
Nd5 0.917 0.634 0.500
Nd6 0.441 0.556 0.298
Nd7 0.860 0.248 0.063
Nd8 0.083 0.134 0.500
Nd9 0.702 0.748 0.063
Nd10 0.642 0.757 0.702
Ac1 0.660 0.180 0.251
Ac2 0.340 0.929 0.749
Ac3 0.910 0.429 0.749
Ac4 0.090 0.680 0.251
Sm1 0.000 0.892 0.000
Sm2 0.500 0.392 0.000
Sm3 0.738 0.955 0.500
Sm4 0.262 0.455 0.500

Computed properties:
Energy above the most stable polymorph in this dataset in eV/f.u.: 1.08
Total magnetic moment in μB per formula unit: 0.0
Space-group type: Ima2
Energy of formation in eV/atom: 0.223
E in eV per cell: -78.98

***

The following is a DFT calculation (GGA-PBE) of an optimized crystal structure of Ac4Nd3Sm2.

Unit cell a=3.818 b=3.818 c=28.301 alpha=90.00 beta=90.00 gamma=120.00
Positions (direct):
Nd1 0.000 0.000 0.982
Nd2 0.667 0.333 0.658
Nd3 0.000 0.000 0.318
Sm1 0.667 0.333 0.082
Sm2 0.667 0.333 0.878
Ac1 0.667 0.333 0.210
Ac2 0.667 0.333 0.430
Ac3 0.000 0.000 0.549
Ac4 0.000 0.000 0.770

Computed properties:
Energy above the most stable polymorph in this dataset in eV/f.u.: 0.48
Total magnetic moment in μB per formula unit: 0.0
Space-group type: P3m1
Energy of formation in eV/atom: 0.092
E in eV per cell: -39.35

***

The following is a DFT calculation (GGA-PBE) of an optimized crystal structure of Ac2Nd8Sm3.

Unit cell a=6.741 b=6.741 c=13.162 alpha=75.16 beta=75.16 gamma=60.00
Positions (direct):
Nd1 0.221 0.720 0.338
Nd2 0.273 0.273 0.181
Nd3 0.280 0.779 0.662
Nd4 0.720 0.221 0.338
Nd5 0.720 0.720 0.338
Nd6 0.727 0.727 0.819
Nd7 0.779 0.280 0.662
Nd8 0.280 0.280 0.662
Ac1 0.360 0.360 0.920
Ac2 0.640 0.640 0.080
Sm1 0.000 0.000 0.000
Sm2 0.812 0.812 0.564
Sm3 0.188 0.188 0.436

Computed properties:
Energy above the most stable polymorph in this dataset in eV/f.u.: 1.13
Total magnetic moment in μB per formula unit: 0.0
Space-group type: R-3m
Energy of formation in eV/atom: 0.260
E in eV per cell: -57.13

***

The following is a DFT calculation (GGA-PBE) of an optimized crystal structure of AcNd6Sm12.

Unit cell a=8.762 b=8.762 c=8.762 alpha=89.04 beta=89.04 gamma=89.04
Positions (direct):
Sm1 0.797 0.640 0.985
Sm2 0.015 0.203 0.360
Sm3 0.225 0.461 0.566
Sm4 0.360 0.015 0.203
Sm5 0.539 0.434 0.775
Sm6 0.775 0.539 0.434
Sm7 0.985 0.797 0.640
Sm8 0.461 0.566 0.225
Sm9 0.640 0.985 0.797
Sm10 0.566 0.225 0.461
Sm11 0.203 0.360 0.015
Sm12 0.434 0.775 0.539
Nd1 0.262 0.094 0.689
Nd2 0.738 0.906 0.311
Nd3 0.094 0.689 0.262
Nd4 0.311 0.738 0.906
Nd5 0.906 0.311 0.738
Nd6 0.689 0.262 0.094
Ac1 0.000 0.000 0.000

Computed properties:
Energy above the most stable polymorph in this dataset in eV/f.u.: 0.00
Total magnetic moment in μB per formula unit: 0.0
Space-group type: R-3
Energy of formation in eV/atom: 0.141
E in eV per cell: -86.66

***

The following is a DFT calculation (GGA-PBE) of an optimized crystal structure of AcNd2Sm5.

Unit cell a=5.212 b=7.372 c=14.758 alpha=90.00 beta=90.00 gamma=90.00
Positions (direct):
Sm1 0.000 0.501 0.747
Sm2 0.000 0.001 0.753
Sm3 0.000 0.000 0.000
Sm4 0.500 0.251 0.373
Sm5 0.000 0.999 0.247
Sm6 0.500 0.751 0.127
Sm7 0.500 0.749 0.627
Sm8 0.000 0.500 0.500
Sm9 0.000 0.499 0.253
Sm10 0.500 0.249 0.873
Ac1 0.000 0.500 0.000
Ac2 0.000 0.000 0.500
Nd1 0.500 0.247 0.128
Nd2 0.500 0.253 0.628
Nd3 0.500 0.747 0.372
Nd4 0.500 0.753 0.872

Computed properties:
Energy above the most stable polymorph in this dataset in eV/f.u.: 0.00
Total magnetic moment in μB per formula unit: 0.0
Space-group type: Pbam
Energy of formation in eV/atom: 0.026
E in eV per cell: -74.06

***

The following is a DFT calculation (GGA-PBE) of an optimized crystal structure of AcNd6Sm12.

Unit cell a=8.945 b=8.945 c=8.945 alpha=99.32 beta=99.32 gamma=99.32
Positions (direct):
Sm1 0.759 0.500 0.241
Sm2 0.500 0.759 0.241
Sm3 0.644 0.919 0.644
Sm4 0.241 0.759 0.500
Sm5 0.356 0.081 0.356
Sm6 0.919 0.644 0.644
Sm7 0.081 0.356 0.356
Sm8 0.759 0.241 0.500
Sm9 0.644 0.644 0.919
Sm10 0.241 0.500 0.759
Sm11 0.356 0.356 0.081
Sm12 0.500 0.241 0.759
Nd1 0.346 0.900 0.900
Nd2 0.900 0.346 0.900
Nd3 0.100 0.100 0.654
Nd4 0.654 0.100 0.100
Nd5 0.900 0.900 0.346
Nd6 0.100 0.654 0.100
Ac1 0.000 0.000 0.000

Computed properties:
Energy above the most stable polymorph in this dataset in eV/f.u.: 0.96
Total magnetic moment in μB per formula unit: 0.0
Space-group type: R-3m
Energy of formation in eV/atom: 0.192
E in eV per cell: -85.70

***

The following is a DFT calculation (GGA-PBE) of an optimized crystal structure of Ac2Nd6Sm3.

Unit cell a=5.918 b=5.918 c=13.276 alpha=102.88 beta=102.88 gamma=90.00
Positions (direct):
Nd1 0.296 0.296 0.591
Nd2 0.895 0.395 0.790
Nd3 0.704 0.704 0.409
Nd4 0.395 0.895 0.790
Nd5 0.605 0.105 0.210
Nd6 0.105 0.605 0.210
Sm1 0.000 0.000 0.000
Sm2 0.838 0.838 0.676
Sm3 0.162 0.162 0.324
Ac1 0.564 0.564 0.127
Ac2 0.436 0.436 0.873

Computed properties:
Energy above the most stable polymorph in this dataset in eV/f.u.: 5.86
Total magnetic moment in μB per formula unit: 0.0
Space-group type: I4/mmm
Energy of formation in eV/atom: 0.563
E in eV per cell: -44.79

***

The following is a DFT calculation (GGA-PBE) of an optimized crystal structure of AcNd4Sm7.

Unit cell a=6.175 b=9.126 c=9.062 alpha=68.38 beta=70.08 gamma=70.22
Last column: magnetic moment on the atom in μB.
Positions (direct):
Nd1 0.457 0.714 0.372  0.00
Nd2 0.314 0.363 0.010  0.00
Nd3 0.543 0.286 0.628  0.00
Nd4 0.686 0.637 0.990  0.00
Sm1 0.921 0.441 0.716  0.00
Sm2 0.079 0.559 0.284  0.00
Sm3 0.209 0.120 0.461  0.00
Sm4 0.500 0.000 0.000  0.12
Sm5 0.269 0.713 0.750  0.00
Sm6 0.731 0.287 0.250  0.00
Sm7 0.791 0.880 0.539  0.00
Ac1 0.000 0.000 0.000  0.07

Computed properties:
Energy above the most stable polymorph in this dataset in eV/f.u.: 2.78
Total magnetic moment in μB per formula unit: 0.3
Space-group type: C2/m
Energy of formation in eV/atom: 0.251
E in eV per cell: -53.20

***

The following is a DFT calculation (GGA-PBE) of an optimized crystal structure of AcNd2Sm8.

Unit cell a=6.892 b=10.573 c=10.573 alpha=37.88 beta=58.12 gamma=58.12
Positions (direct):
Sm1 0.734 0.590 0.590
Sm2 0.188 0.760 0.760
Sm3 0.812 0.240 0.240
Sm4 0.238 0.360 0.823
Sm5 0.762 0.177 0.640
Sm6 0.266 0.410 0.410
Sm7 0.238 0.823 0.360
Sm8 0.762 0.640 0.177
Ac1 0.000 0.000 0.000
Nd1 0.629 0.790 0.790
Nd2 0.371 0.210 0.210

Computed properties:
Energy above the most stable polymorph in this dataset in eV/f.u.: 0.34
Total magnetic moment in μB per formula unit: 0.0
Space-group type: C2/m
Energy of formation in eV/atom: 0.154
E in eV per cell: -49.71

***

The following is a DFT calculation (GGA-PBE) of an optimized crystal structure of AcTb6Nd2Sm3.

Unit cell a=6.307 b=6.307 c=11.969 alpha=95.02 beta=95.02 gamma=119.99
Positions (direct):
Sm1 0.833 0.167 0.500
Sm2 0.500 0.500 0.500
Sm3 0.167 0.833 0.500
Tb1 0.421 0.085 0.254
Tb2 0.250 0.250 0.746
Tb3 0.085 0.421 0.254
Tb4 0.579 0.915 0.746
Tb5 0.915 0.579 0.746
Tb6 0.750 0.750 0.254
Nd1 0.667 0.333 0.000
Nd2 0.333 0.667 0.000
Ac1 0.000 0.000 0.000

Computed properties:
Total magnetic moment in μB per formula unit: 0.0
Space-group type: C2/m
Energy of formation in eV/atom: 0.023
E in eV per cell: -55.31

***

The following is a DFT calculation (GGA-PBE) of an optimized crystal structure of AcTb2Nd2Sm2.

Unit cell a=5.209 b=6.359 c=8.233 alpha=97.46 beta=90.00 gamma=114.18
Positions (direct):
Tb1 0.857 0.714 0.566
Tb2 0.143 0.286 0.434
Nd1 0.426 0.852 0.291
Nd2 0.574 0.148 0.709
Sm1 0.286 0.571 0.850
Sm2 0.714 0.429 0.150
Ac1 0.000 0.000 0.000

Computed properties:
Total magnetic moment in μB per formula unit: 0.0
Space-group type: C2/m
Energy of formation in eV/atom: 0.031
E in eV per cell: -32.12

***

The following is a DFT calculation (GGA-PBE) of an optimized crystal structure of AcTbNdSm.

Unit cell a=5.259 b=5.263 c=6.443 alpha=114.11 beta=114.09 gamma=90.00
Positions (direct):
Ac1 0.445 0.445 0.891
Sm1 0.695 0.195 0.391
Tb1 0.946 0.946 0.891
Nd1 0.196 0.696 0.391

Computed properties:
Energy above the most stable polymorph in this dataset in eV/f.u.: 0.00
Total magnetic moment in μB per formula unit: 0.0
Space-group type: I-4m2
Energy of formation in eV/atom: 0.046
E in eV per cell: -18.04

***

The following is a DFT calculation (GGA-PBE) of an optimized crystal structure of AcTb2Nd4Sm.

Unit cell a=5.221 b=5.194 c=11.653 alpha=63.45 beta=90.00 gamma=90.00
Positions (direct):
Tb1 0.500 0.000 0.500
Tb2 0.000 0.000 0.000
Ac1 0.500 0.500 0.000
Nd1 0.000 0.244 0.256
Nd2 0.500 0.742 0.257
Nd3 0.500 0.258 0.743
Nd4 0.000 0.756 0.744
Sm1 0.000 0.500 0.500

Computed properties:
Total magnetic moment in μB per formula unit: 0.0
Space-group type: P2/m
Energy of formation in eV/atom: 0.026
E in eV per cell: -36.95

***

The following is a DFT calculation (GGA-PBE) of an optimized crystal structure of AcTbNd2Sm.

Unit cell a=5.894 b=8.698 c=7.473 alpha=90.11 beta=90.00 gamma=90.00
Positions (direct):
Sm1 0.500 0.000 0.750
Sm2 0.500 0.000 0.250
Nd1 0.500 0.677 0.499
Nd2 0.500 0.677 0.999
Nd3 0.500 0.323 0.001
Nd4 0.500 0.323 0.501
Tb1 0.000 0.500 0.750
Tb2 0.000 0.500 0.250
Ac1 0.000 0.000 0.000
Ac2 0.000 0.000 0.500

Computed properties:
Total magnetic moment in μB per formula unit: 0.0
Space-group type: P2/m
Energy of formation in eV/atom: 0.277
E in eV per cell: -43.21

***

The following is a DFT calculation (GGA-PBE) of an optimized crystal structure of Ac2TbNd5Sm.

Unit cell a=5.868 b=10.782 c=11.045 alpha=90.00 beta=90.00 gamma=105.79
Positions (direct):
Ac1 0.112 0.224 0.733
Ac2 0.888 0.776 0.233
Ac3 0.881 0.763 0.821
Ac4 0.119 0.237 0.321
Nd1 0.481 0.961 0.742
Nd2 0.519 0.039 0.242
Nd3 0.394 0.788 0.024
Nd4 0.295 0.591 0.700
Nd5 0.717 0.434 0.807
Nd6 0.705 0.409 0.200
Nd7 0.606 0.212 0.524
Nd8 0.283 0.566 0.307
Nd9 0.020 0.040 0.025
Nd10 0.980 0.960 0.525
Sm1 0.207 0.414 0.007
Sm2 0.793 0.586 0.507
Tb1 0.409 0.819 0.465
Tb2 0.591 0.181 0.965

Computed properties:
Total magnetic moment in μB per formula unit: 0.0
Space-group type: Cmc2_1
Energy of formation in eV/atom: 0.131
E in eV per cell: -80.45

***

The following is a DFT calculation (GGA-PBE) of an optimized crystal structure of AcTbNdSm2.

Unit cell a=7.351 b=8.385 c=7.428 alpha=124.36 beta=90.00 gamma=90.00
Positions (direct):
Ac1 0.750 0.243 0.486
Ac2 0.250 0.757 0.514
Sm1 0.500 0.694 0.000
Sm2 0.000 0.306 0.000
Sm3 0.500 0.306 0.000
Sm4 0.000 0.694 0.000
Tb1 0.250 0.306 0.613
Tb2 0.750 0.694 0.387
Nd1 0.250 0.058 0.115
Nd2 0.750 0.942 0.885

Computed properties:
Total magnetic moment in μB per formula unit: 0.0
Space-group type: Cmcm
Energy of formation in eV/atom: 0.339
E in eV per cell: -42.50

***

The following is a DFT calculation (GGA-PBE) of an optimized crystal structure of AcTbNd5Sm2.

Unit cell a=9.064 b=9.064 c=10.168 alpha=116.47 beta=116.47 gamma=90.00
Positions (direct):
Nd1 0.665 0.165 0.735
Nd2 0.335 0.835 0.265
Nd3 0.165 0.071 0.735
Nd4 0.071 0.571 0.735
Nd5 0.000 0.000 0.000
Nd6 0.429 0.335 0.265
Nd7 0.929 0.429 0.265
Nd8 0.500 0.500 0.000
Nd9 0.835 0.929 0.265
Nd10 0.571 0.665 0.735
Sm1 0.884 0.616 0.000
Sm2 0.384 0.884 0.000
Sm3 0.116 0.384 0.000
Sm4 0.616 0.116 0.000
Tb1 0.750 0.250 0.500
Tb2 0.250 0.750 0.500
Ac1 0.250 0.250 0.500
Ac2 0.750 0.750 0.500

Computed properties:
Total magnetic moment in μB per formula unit: 0.0
Space-group type: I4/mcm
Energy of formation in eV/atom: 0.259
E in eV per cell: -79.38

***

The following is a DFT calculation (GGA-PBE) of an optimized crystal structure of AcTb2NdSm2.

Unit cell a=5.795 b=10.058 c=7.182 alpha=90.00 beta=90.00 gamma=90.00
Positions (direct):
Nd1 0.000 0.000 0.500
Nd2 0.500 0.500 0.000
Sm1 0.000 0.667 0.248
Sm2 0.500 0.833 0.748
Sm3 0.500 0.167 0.252
Sm4 0.000 0.333 0.752
Ac1 0.000 0.000 0.000
Ac2 0.500 0.500 0.500
Tb1 0.500 0.167 0.749
Tb2 0.000 0.333 0.249
Tb3 0.000 0.667 0.751
Tb4 0.500 0.833 0.251

Computed properties:
Total magnetic moment in μB per formula unit: 0.0
Space-group type: Pnnm
Energy of formation in eV/atom: 0.064
E in eV per cell: -54.38